Computed, not measured: an optimized crystal structure of LiCoOF2 at the PBE with a Hubbard U level of DFT.

spin magnetization = 0.783 μB/atom
energy = -4.879 eV/atom
theoretical density = 3.338 g/cm³
crystal system = tetragonal
N(E_F) = 0.7 states/eV/f.u.

extended XYZ file:
```
5
Lattice="4.057 0.000 0.000 0.000 4.057 0.000 0.000 0.000 3.624" Properties=species:S:1:pos:R:3 pbc="T T T"
Li 0.000 0.000 0.000
Co 2.028 2.028 1.812
O 2.028 2.028 0.000
F 0.000 2.028 1.812
F 2.028 0.000 1.812
```